This record from Alexandria describes crystalline SrGa4Pt2 at its relaxed geometry. The functional is PBE.

Computed properties:
The calculation puts the electronic total energy at -4.386 eV per atom.

Unit cell a=17.635 b=4.445 c=6.709 alpha=90.00 beta=90.00 gamma=90.00
Space group Pnma (No. 62)
Inequivalent atoms, fractional coordinates:
Sr1 0.139 0.250 0.011 x4
Ga1 0.037 0.750 0.832 x4
Ga2 0.072 0.250 0.487 x4
Ga3 0.185 0.750 0.318 x4
Ga4 0.189 0.750 0.719 x4
Pt1 0.036 0.750 0.258 x4
Pt2 0.216 0.250 0.521 x4